1.
! Tb3Cd4Ag2 PBE relaxed; values from VASP
&SYSTEM
  ibrav = 0, nat = 9, ntyp = 3
/
ATOMIC_SPECIES
Tb 158.93 Tb.upf
Cd 112.41 Cd.upf
Ag 107.87 Ag.upf
CELL_PARAMETERS angstrom
4.9581 0.0000 0.0000
-2.4790 4.9973 -2.2013
0.0000 -1.1780 9.0900
ATOMIC_POSITIONS crystal
Tb 0.6690 0.3380 0.6629
Tb 0.0000 0.0000 0.0000
Tb 0.3310 0.6620 0.3371
Cd 0.7172 0.4344 0.0533
Cd 0.2828 0.5656 0.9467
Cd 0.9456 0.8911 0.6139
Cd 0.0544 0.1089 0.3861
Ag 0.6075 0.2150 0.2752
Ag 0.3925 0.7850 0.7248
! M_tot	0.00	μB/f.u.
! uncorrected energy	-2.888	eV per atom
! V	23.596	A^3/atom



2.
! Tb2CdAg PBE relaxed; values from VASP
&SYSTEM
  ibrav = 0, nat = 4, ntyp = 3
/
ATOMIC_SPECIES
Tb 158.93 Tb.upf
Ag 107.87 Ag.upf
Cd 112.41 Cd.upf
CELL_PARAMETERS angstrom
-2.7447 1.1300 -2.1987
-2.4427 -0.7349 2.6717
0.7657 6.9325 2.6070
ATOMIC_POSITIONS crystal
Tb 0.0000 0.0000 0.7583
Tb 0.0000 0.0000 0.2417
Ag 0.5000 0.5000 0.0000
Cd 0.5000 0.5000 0.5000
! M_tot	0.00	μB/f.u.
! uncorrected energy	-3.570	eV per atom
! V	25.400	A^3/atom



3.
! Tb3Cd7Ag2 PBE relaxed; values from VASP
&SYSTEM
  ibrav = 0, nat = 12, ntyp = 3
/
ATOMIC_SPECIES
Tb 158.93 Tb.upf
Cd 112.41 Cd.upf
Ag 107.87 Ag.upf
CELL_PARAMETERS angstrom
3.8521 0.0000 0.0000
0.0000 4.8104 -0.4198
0.0000 -0.9814 15.8641
ATOMIC_POSITIONS crystal
Tb 0.5000 0.5000 0.0000
Tb 0.0000 0.1812 0.3591
Tb 0.0000 0.8188 0.6409
Cd 0.5000 0.2710 0.5431
Cd 0.5000 0.7290 0.4569
Cd 0.0000 0.5785 0.1548
Cd 0.0000 0.0000 0.0000
Cd 0.0000 0.4215 0.8452
Cd 0.5000 0.9137 0.8307
Cd 0.5000 0.0863 0.1693
Ag 0.5000 0.6439 0.2839
Ag 0.5000 0.3561 0.7161
! M_tot	0.00	μB/f.u.
! polymorph energy (0 for the lowest one)	19	meV/atom
! V	24.365	A^3/atom



4.
! Tb2Cd2Ag PBE relaxed; values from VASP
&SYSTEM
  ibrav = 0, nat = 10, ntyp = 3
/
ATOMIC_SPECIES
Tb 158.93 Tb.upf
Cd 112.41 Cd.upf
Ag 107.87 Ag.upf
CELL_PARAMETERS angstrom
-4.6525 -1.5836 2.7856
1.8041 -6.1340 -0.4739
4.8687 4.4035 4.9067
ATOMIC_POSITIONS crystal
Tb 0.3242 0.5075 0.6485
Tb 0.6758 0.4925 0.3515
Tb 0.1758 0.8590 0.3515
Tb 0.8242 0.1410 0.6485
Cd 0.9107 0.7643 0.8214
Cd 0.0893 0.2357 0.1786
Cd 0.5893 0.9429 0.1786
Cd 0.4107 0.0571 0.8214
Ag 0.7500 0.5000 0.0000
Ag 0.2500 0.5000 0.0000
! M_tot	0.00	μB/f.u.
! polymorph energy (0 for the lowest one)	15	meV/atom
! V	25.331	A^3/atom



5.
! Tb6CdAg3 PBE relaxed; values from VASP
&SYSTEM
  ibrav = 0, nat = 20, ntyp = 3
/
ATOMIC_SPECIES
Tb 158.93 Tb.upf
Cd 112.41 Cd.upf
Ag 107.87 Ag.upf
CELL_PARAMETERS angstrom
5.0798 0.0000 0.0000
0.0000 8.7662 -2.6910
0.0000 0.4443 11.8904
ATOMIC_POSITIONS crystal
Tb 0.2500 0.5133 0.1107
Tb 0.7500 0.4867 0.8893
Tb 0.2500 0.1185 0.1624
Tb 0.7500 0.8815 0.8376
Tb 0.2500 0.6485 0.7127
Tb 0.7500 0.3515 0.2873
Tb 0.2500 0.2800 0.4849
Tb 0.7500 0.7200 0.5151
Tb 0.2500 0.8643 0.3460
Tb 0.7500 0.1357 0.6540
Tb 0.2500 0.1463 0.8920
Tb 0.7500 0.8537 0.1080
Cd 0.2500 0.9400 0.6321
Cd 0.7500 0.0600 0.3679
Ag 0.2500 0.5415 0.3712
Ag 0.7500 0.4585 0.6288
Ag 0.2500 0.3409 0.7396
Ag 0.7500 0.6591 0.2604
Ag 0.2500 0.7780 0.9713
Ag 0.7500 0.2220 0.0287
! M_tot	0.00	μB/f.u.
! uncorrected energy	-3.916	eV per atom
! V	26.778	A^3/atom



6.
! Tb4Cd2Ag3 PBE relaxed; values from VASP
&SYSTEM
  ibrav = 0, nat = 9, ntyp = 3
/
ATOMIC_SPECIES
Tb 158.93 Tb.upf
Cd 112.41 Cd.upf
Ag 107.87 Ag.upf
CELL_PARAMETERS angstrom
-2.2510 1.5715 4.1551
-5.5268 -0.3387 0.1184
-1.1380 -8.7015 2.6750
ATOMIC_POSITIONS crystal
Tb 0.6437 0.7126 0.8979
Tb 0.0580 0.8838 0.3416
Tb 0.9420 0.1162 0.6584
Tb 0.3563 0.2874 0.1021
Cd 0.2716 0.4570 0.7357
Cd 0.7284 0.5430 0.2643
Ag 0.3625 0.2750 0.4350
Ag 0.0000 0.0000 0.0000
Ag 0.6375 0.7250 0.5650
! M_tot	0.00	μB/f.u.
! uncorrected energy	-3.458	eV per atom
! V	24.552	A^3/atom



7.
! TbCd11Ag PBE relaxed; values from VASP
&SYSTEM
  ibrav = 0, nat = 13, ntyp = 3
/
ATOMIC_SPECIES
Tb 158.93 Tb.upf
Cd 112.41 Cd.upf
Ag 107.87 Ag.upf
CELL_PARAMETERS angstrom
5.4346 0.0248 2.2641
2.6864 7.0347 1.1192
0.0115 0.0124 7.6268
ATOMIC_POSITIONS crystal
Tb 0.0000 0.0000 0.0000
Cd 0.2940 0.2137 0.2104
Cd 0.7060 0.7863 0.7896
Cd 0.4956 0.7863 0.2104
Cd 0.5044 0.2137 0.7896
Cd 0.3546 0.6478 0.6536
Cd 0.6454 0.3522 0.3464
Cd 0.9918 0.3522 0.6536
Cd 0.0082 0.6478 0.3464
Cd 0.0000 0.5000 0.0000
Cd 0.5000 0.0000 0.5000
Cd 0.0000 0.0000 0.5000
Ag 0.5000 0.5000 0.0000
! M_tot	0.00	μB/f.u.
! uncorrected energy	-1.441	eV per atom
! V	22.376	A^3/atom



8.
! Tb2Cd16Ag PBE relaxed; values from VASP
&SYSTEM
  ibrav = 0, nat = 19, ntyp = 3
/
ATOMIC_SPECIES
Tb 158.93 Tb.upf
Cd 112.41 Cd.upf
Ag 107.87 Ag.upf
CELL_PARAMETERS angstrom
-7.5661 0.9979 -0.3974
-1.3923 0.9791 7.4500
-0.1288 7.6400 0.1196
ATOMIC_POSITIONS crystal
Tb 0.6640 0.6640 0.6640
Tb 0.3259 0.3259 0.3259
Cd 0.6980 0.0004 0.2975
Cd 0.0004 0.2975 0.6980
Cd 0.2975 0.6980 0.0004
Cd 0.0004 0.6980 0.2975
Cd 0.6980 0.2975 0.0004
Cd 0.2975 0.0004 0.6980
Cd 0.3449 0.8796 0.3449
Cd 0.8796 0.3449 0.3449
Cd 0.3449 0.3449 0.8796
Cd 0.6201 0.2105 0.6201
Cd 0.2105 0.6201 0.6201
Cd 0.6201 0.6201 0.2105
Cd 0.9657 0.5416 0.9657
Cd 0.5416 0.9657 0.9657
Cd 0.9657 0.9657 0.5416
Cd 0.1063 0.1063 0.1063
Ag 0.9186 0.9186 0.9186
! M_tot	0.00	μB/f.u.
! uncorrected energy	-1.519	eV per atom
! V	22.797	A^3/atom



9.
! Tb2Cd8Ag PBE relaxed; values from VASP
&SYSTEM
  ibrav = 0, nat = 11, ntyp = 3
/
ATOMIC_SPECIES
Tb 158.93 Tb.upf
Cd 112.41 Cd.upf
Ag 107.87 Ag.upf
CELL_PARAMETERS angstrom
4.5012 0.0000 -1.3668
-0.6880 6.2018 -2.2657
0.2149 0.9480 8.8030
ATOMIC_POSITIONS crystal
Tb 0.2193 0.6791 0.4386
Tb 0.7807 0.3209 0.5614
Cd 0.6458 0.8777 0.2917
Cd 0.4009 0.5805 0.8017
Cd 0.1485 0.1644 0.2971
Cd 0.9754 0.2699 0.9508
Cd 0.8515 0.8356 0.7029
Cd 0.5991 0.4195 0.1983
Cd 0.3542 0.1223 0.7083
Cd 0.0246 0.7301 0.0492
Ag 0.5000 0.0000 0.0000
! M_tot	0.00	μB/f.u.
! uncorrected energy	-1.933	eV per atom
! V	23.466	A^3/atom



10.
! TbCdAg2 PBE relaxed; values from VASP
&SYSTEM
  ibrav = 0, nat = 8, ntyp = 3
/
ATOMIC_SPECIES
Tb 158.93 Tb.upf
Cd 112.41 Cd.upf
Ag 107.87 Ag.upf
CELL_PARAMETERS angstrom
5.0701 0.0000 0.0000
0.0000 5.0248 0.0000
0.0000 0.0000 6.7549
ATOMIC_POSITIONS crystal
Tb 0.0000 0.3053 0.5000
Tb 0.5000 0.6947 0.0000
Cd 0.5000 0.7138 0.5000
Cd 0.0000 0.2862 0.0000
Ag 0.5000 0.1952 0.2560
Ag 0.5000 0.1952 0.7440
Ag 0.0000 0.8048 0.7560
Ag 0.0000 0.8048 0.2440
! M_tot	0.00	μB/f.u.
! polymorph energy (0 for the lowest one)	0	meV/atom
! V	21.511	A^3/atom



11.
! TbCd6Ag12 PBE relaxed; values from VASP
&SYSTEM
  ibrav = 0, nat = 19, ntyp = 3
/
ATOMIC_SPECIES
Tb 158.93 Tb.upf
Cd 112.41 Cd.upf
Ag 107.87 Ag.upf
CELL_PARAMETERS angstrom
7.7355 -0.0123 -0.0173
-1.9294 7.4910 -0.0173
-1.9294 -2.4853 7.0667
ATOMIC_POSITIONS crystal
Tb 0.0000 0.0000 0.0000
Cd 0.6969 0.2976 0.2976
Cd 0.2976 0.2976 0.6969
Cd 0.2976 0.6969 0.2976
Cd 0.7024 0.7024 0.3031
Cd 0.3031 0.7024 0.7024
Cd 0.7024 0.3031 0.7024
Ag 0.8890 0.1110 0.5000
Ag 0.8931 0.6512 0.6512
Ag 0.6512 0.6512 0.8931
Ag 0.3488 0.1069 0.3488
Ag 0.3488 0.3488 0.1069
Ag 0.1069 0.3488 0.3488
Ag 0.1110 0.5000 0.8890
Ag 0.5000 0.8890 0.1110
Ag 0.1110 0.8890 0.5000
Ag 0.8890 0.5000 0.1110
Ag 0.5000 0.1110 0.8890
Ag 0.6512 0.8931 0.6512
! M_tot	0.00	μB/f.u.
! uncorrected energy	-2.267	eV per atom
! V	21.508	A^3/atom



12.
! Tb6Cd3Ag PBE relaxed; values from VASP
&SYSTEM
  ibrav = 0, nat = 20, ntyp = 3
/
ATOMIC_SPECIES
Tb 158.93 Tb.upf
Cd 112.41 Cd.upf
Ag 107.87 Ag.upf
CELL_PARAMETERS angstrom
-1.8566 -3.0249 4.0084
8.5235 -1.1454 3.0835
-4.7754 9.5084 4.9637
ATOMIC_POSITIONS crystal
Tb 0.2500 0.4635 0.0843
Tb 0.7500 0.5365 0.9157
Tb 0.2500 0.1364 0.1562
Tb 0.7500 0.8636 0.8438
Tb 0.2500 0.6660 0.6719
Tb 0.7500 0.3340 0.3281
Tb 0.2500 0.2472 0.4959
Tb 0.7500 0.7528 0.5041
Tb 0.2500 0.8477 0.3091
Tb 0.7500 0.1523 0.6909
Tb 0.2500 0.0928 0.8652
Tb 0.7500 0.9072 0.1348
Cd 0.2500 0.5281 0.3734
Cd 0.7500 0.4719 0.6266
Cd 0.2500 0.3946 0.7841
Cd 0.7500 0.6054 0.2159
Cd 0.2500 0.7714 0.9760
Cd 0.7500 0.2286 0.0240
Ag 0.2500 0.9524 0.5901
Ag 0.7500 0.0476 0.4099
! M_tot	0.00	μB/f.u.
! uncorrected energy	-3.548	eV per atom
! V	27.022	A^3/atom



13.
! TbCd6Ag PBE relaxed; values from VASP
&SYSTEM
  ibrav = 0, nat = 8, ntyp = 3
/
ATOMIC_SPECIES
Tb 158.93 Tb.upf
Cd 112.41 Cd.upf
Ag 107.87 Ag.upf
CELL_PARAMETERS angstrom
4.6574 0.0000 0.0000
0.0000 4.6574 0.0000
0.0000 0.0000 8.2402
ATOMIC_POSITIONS crystal
Tb 0.0000 0.0000 0.0000
Cd 0.5000 0.5000 0.0000
Cd 0.5000 0.5000 0.5000
Cd 0.5000 0.0000 0.2654
Cd 0.5000 0.0000 0.7346
Cd 0.0000 0.5000 0.2654
Cd 0.0000 0.5000 0.7346
Ag 0.0000 0.0000 0.5000
! M_tot	0.00	μB/f.u.
! polymorph energy (0 for the lowest one)	0	meV/atom
! V	22.343	A^3/atom



14.
! TbCd6Ag6 PBE relaxed; values from VASP
&SYSTEM
  ibrav = 0, nat = 13, ntyp = 3
/
ATOMIC_SPECIES
Tb 158.93 Tb.upf
Cd 112.41 Cd.upf
Ag 107.87 Ag.upf
CELL_PARAMETERS angstrom
5.6802 -0.0004 0.0000
-2.8398 4.9194 0.0000
0.0000 0.0000 9.7442
ATOMIC_POSITIONS crystal
Tb 0.0000 0.0000 0.0000
Cd 0.0000 0.0000 0.6530
Cd 0.0000 0.0000 0.3470
Cd 0.3333 0.6667 0.0000
Cd 0.6667 0.3333 0.0000
Cd 0.3333 0.6667 0.5000
Cd 0.6667 0.3333 0.5000
Ag 0.0000 0.5000 0.7546
Ag 0.5000 0.0000 0.7546
Ag 0.5000 0.5000 0.7546
Ag 0.5000 0.0000 0.2454
Ag 0.0000 0.5000 0.2454
Ag 0.5000 0.5000 0.2454
! M_tot	0.00	μB/f.u.
! polymorph energy (0 for the lowest one)	0	meV/atom
! V	20.944	A^3/atom



15.
! TbCdAg2 PBE relaxed; values from VASP
&SYSTEM
  ibrav = 0, nat = 4, ntyp = 3
/
ATOMIC_SPECIES
Tb 158.93 Tb.upf
Ag 107.87 Ag.upf
Cd 112.41 Cd.upf
CELL_PARAMETERS angstrom
-3.2539 -1.0915 1.0286
-0.9152 -0.5018 -3.4275
2.2730 -6.4570 0.3384
ATOMIC_POSITIONS crystal
Tb 0.5000 0.5000 0.0000
Ag 0.0000 0.0000 0.7353
Ag 0.0000 0.0000 0.2647
Cd 0.5000 0.5000 0.5000
! M_tot	0.00	μB/f.u.
! polymorph energy (0 for the lowest one)	89	meV/atom
! V	21.996	A^3/atom



16.
! Tb8CdAg2 PBE relaxed; values from VASP
&SYSTEM
  ibrav = 0, nat = 11, ntyp = 3
/
ATOMIC_SPECIES
Tb 158.93 Tb.upf
Cd 112.41 Cd.upf
Ag 107.87 Ag.upf
CELL_PARAMETERS angstrom
5.0696 0.0000 -1.6370
-1.2829 7.2925 -3.9729
-0.0679 -0.0961 8.4583
ATOMIC_POSITIONS crystal
Tb 0.5984 0.4600 0.1967
Tb 0.3163 0.0423 0.6327
Tb 0.1420 0.1970 0.2841
Tb 0.0672 0.7232 0.1344
Tb 0.8580 0.8030 0.7159
Tb 0.6837 0.9577 0.3673
Tb 0.4016 0.5400 0.8033
Tb 0.9328 0.2768 0.8656
Cd 0.5000 0.0000 0.0000
Ag 0.2244 0.6215 0.4488
Ag 0.7756 0.3785 0.5512
! M_tot	0.00	μB/f.u.
! polymorph energy (0 for the lowest one)	0	meV/atom
! V	28.160	A^3/atom



17.
! Tb2CdAg3 PBE relaxed; values from VASP
&SYSTEM
  ibrav = 0, nat = 12, ntyp = 3
/
ATOMIC_SPECIES
Tb 158.93 Tb.upf
Cd 112.41 Cd.upf
Ag 107.87 Ag.upf
CELL_PARAMETERS angstrom
-5.3949 1.8284 1.4727
2.3553 -3.3137 4.2532
4.8263 7.6431 0.6822
ATOMIC_POSITIONS crystal
Tb 0.2500 0.7500 0.5000
Tb 0.7530 0.7530 0.0000
Tb 0.7500 0.2500 0.5000
Tb 0.2470 0.2470 0.0000
Cd 0.6664 0.6664 0.3329
Cd 0.3336 0.3336 0.6671
Ag 0.3327 0.8331 0.1659
Ag 0.1669 0.6673 0.8341
Ag 0.6673 0.1669 0.8341
Ag 0.8331 0.3327 0.1659
Ag 0.1662 0.1662 0.3324
Ag 0.8338 0.8338 0.6676
! M_tot	0.00	μB/f.u.
! polymorph energy (0 for the lowest one)	0	meV/atom
! V	22.686	A^3/atom



18.
! TbCdAg2 PBE relaxed; values from VASP
&SYSTEM
  ibrav = 0, nat = 4, ntyp = 3
/
ATOMIC_SPECIES
Tb 158.93 Tb.upf
Ag 107.87 Ag.upf
Cd 112.41 Cd.upf
CELL_PARAMETERS angstrom
-2.1049 -2.9100 0.1980
3.8579 -2.8763 -1.2617
1.1791 -0.5260 4.8043
ATOMIC_POSITIONS crystal
Tb 0.5000 0.5000 0.5000
Ag 0.0000 0.0000 0.5000
Ag 0.0000 0.5000 0.0000
Cd 0.5000 0.0000 0.0000
! M_tot	0.00	μB/f.u.
! polymorph energy (0 for the lowest one)	166	meV/atom
! V	22.255	A^3/atom



19.
! TbCd9Ag2 PBE relaxed; values from VASP
&SYSTEM
  ibrav = 0, nat = 24, ntyp = 3
/
ATOMIC_SPECIES
Tb 158.93 Tb.upf
Cd 112.41 Cd.upf
Ag 107.87 Ag.upf
CELL_PARAMETERS angstrom
1.3295 6.5735 -3.4373
-6.5602 6.3128 1.2741
4.6554 6.0541 5.1172
ATOMIC_POSITIONS crystal
Tb 0.5000 0.0000 0.0000
Tb 0.2500 0.5000 0.5000
Cd 0.7500 0.5000 0.5000
Cd 0.0000 0.0000 0.0000
Cd 0.9972 0.9211 0.6808
Cd 0.5991 0.0789 0.3192
Cd 0.6683 0.1808 0.5789
Cd 0.4280 0.8192 0.4211
Cd 0.7528 0.8192 0.5789
Cd 0.1509 0.1808 0.4211
Cd 0.0817 0.9211 0.3192
Cd 0.3220 0.0789 0.6808
Cd 0.7528 0.5789 0.8192
Cd 0.1509 0.4211 0.1808
Cd 0.0817 0.3192 0.9211
Cd 0.3220 0.6808 0.0789
Cd 0.9972 0.6808 0.9211
Cd 0.5991 0.3192 0.0789
Cd 0.6683 0.5789 0.1808
Cd 0.4280 0.4211 0.8192
Ag 0.8750 0.2500 0.7500
Ag 0.8750 0.7500 0.2500
Ag 0.8750 0.2500 0.2500
Ag 0.3750 0.7500 0.7500
! M_tot	0.00	μB/f.u.
! uncorrected energy	-1.650	eV per atom
! V	22.079	A^3/atom



20.
! TbCd2Ag9 PBE relaxed; values from VASP
&SYSTEM
  ibrav = 0, nat = 12, ntyp = 3
/
ATOMIC_SPECIES
Tb 158.93 Tb.upf
Cd 112.41 Cd.upf
Ag 107.87 Ag.upf
CELL_PARAMETERS angstrom
5.5893 0.0000 0.0000
2.7947 4.8405 0.0000
2.7947 1.6135 9.0662
ATOMIC_POSITIONS crystal
Tb 0.0000 0.0000 0.0000
Cd 0.8573 0.8573 0.4281
Cd 0.1427 0.1427 0.5719
Ag 0.6664 0.6664 0.0008
Ag 0.3336 0.3336 0.9992
Ag 0.5000 0.5000 0.5000
Ag 0.4127 0.4127 0.2559
Ag 0.9188 0.4127 0.2559
Ag 0.4127 0.9188 0.2559
Ag 0.5873 0.5873 0.7441
Ag 0.5873 0.0812 0.7441
Ag 0.0812 0.5873 0.7441
! M_tot	0.00	μB/f.u.
! uncorrected energy	-2.702	eV per atom
! V	20.440	A^3/atom